Record 1
This record from Alexandria describes a relaxed structure of ReMoPb2. The functional is PBE.

The magnetization comes out at 1.77 μB per formula unit. The calculation puts the formation energy at 1.077 eV/atom. For the relative energy among the computed polymorphs, the calculation gives 731 meV/atom. As for the total energy: -0.242 Ha/atom.

It has space group Fm-3m (No. 225), with a = 6.790 Å, b = 6.790 Å, c = 6.790 Å, α = 90.00°, β = 90.00° and γ = 90.00°. Symmetry generates all atoms from Re at (0.000, 0.000, 0.000), Mo at (0.000, 0.000, 0.500) and Pb at (0.250, 0.250, 0.250).

Record 2
This record from Alexandria describes a relaxed structure of ReMoPb4. The functional is PBE.

The magnetization comes out at 6.67 μB per formula unit. The calculation puts the formation energy at 1.653 eV/atom. As for the total energy: -0.173 Ha/atom.

It has space group F-43m (No. 216), with a = 8.758 Å, b = 8.758 Å, c = 8.758 Å, α = 90.00°, β = 90.00° and γ = 90.00°. Symmetry generates all atoms from Re at (0.000, 0.000, 0.000), Mo at (0.250, 0.250, 0.750) and Pb at (0.125, 0.125, 0.375).

Record 3
This record from Alexandria describes a relaxed structure of ReMoPb. The functional is PBE.

The magnetization comes out at 0.00 μB per formula unit. The calculation puts the formation energy at 0.575 eV/atom. For the relative energy among the computed polymorphs, the calculation gives 0 meV/atom. As for the total energy: -0.309 Ha/atom.

It has space group I4mm (No. 107), with a = 3.112 Å, b = 3.112 Å, c = 11.776 Å, α = 90.00°, β = 90.00° and γ = 90.00°. Symmetry generates all atoms from Re at (0.000, 0.000, 0.000), Mo at (0.000, 0.000, 0.381) and Pb at (0.000, 0.000, 0.688).

Record 4
This record from Alexandria describes a relaxed structure of ReMoPb3. The functional is PBE.

The magnetization comes out at 5.00 μB per formula unit. The calculation puts the formation energy at 1.607 eV/atom. For the relative energy among the computed polymorphs, the calculation gives 237 meV/atom. As for the total energy: -0.194 Ha/atom.

It has space group Pm-3m (No. 221), with a = 5.371 Å, b = 5.371 Å, c = 5.371 Å, α = 90.00°, β = 90.00° and γ = 90.00°. Symmetry generates all atoms from Re at (0.000, 0.000, 0.000), Mo at (0.500, 0.500, 0.500) and Pb at (0.000, 0.500, 0.500).

Record 5
This record from Alexandria describes a relaxed structure of ReMoRhPb2. The functional is PBE.

The magnetization comes out at 3.74 μB per formula unit. The calculation puts the formation energy at 1.762 eV/atom. As for the total energy: -0.215 Ha/atom.

It has space group P4/mmm (No. 123), with a = 5.106 Å, b = 5.106 Å, c = 4.772 Å, α = 90.00°, β = 90.00° and γ = 90.00°. Symmetry generates all atoms from Re at (0.000, 0.000, 0.000), Mo at (0.500, 0.500, 0.000), Rh at (0.500, 0.500, 0.500) and Pb at (0.000, 0.500, 0.500).

Record 6
This record from Alexandria describes a relaxed structure of Mo2RhPb. The functional is PBE.

The magnetization comes out at 0.00 μB per formula unit. The calculation puts the formation energy at 0.808 eV/atom. As for the total energy: -0.271 Ha/atom.

It has space group I-42d (No. 122), with a = 7.467 Å, b = 7.467 Å, c = 5.419 Å, α = 90.00°, β = 90.00° and γ = 90.00°. Symmetry generates all atoms from Mo at (0.217, 0.750, 0.125), Rh at (0.000, 0.000, 0.000) and Pb at (0.000, 0.000, 0.500).

Record 7
This record from Alexandria describes a relaxed structure of MoRh2Pb. The functional is PBE.

The magnetization comes out at 0.00 μB per formula unit. The calculation puts the formation energy at 0.211 eV/atom. As for the total energy: -0.261 Ha/atom.

It has space group Pm (No. 6), with a = 2.932 Å, b = 4.668 Å, c = 4.891 Å, α = 90.00°, β = 90.07° and γ = 90.00°. Symmetry generates all atoms from Mo at (0.000, 0.000, 0.000), Rh at (0.501, 0.500, 0.140), Rh at (0.502, 0.000, 0.473) and Pb at (0.002, 0.500, 0.632).

Record 8
This record from Alexandria describes a relaxed structure of Mo2RhPb. The functional is PBE.

The magnetization comes out at 0.00 μB per formula unit. The calculation puts the formation energy at 0.388 eV/atom. As for the total energy: -0.286 Ha/atom.

It has space group Pmmm (No. 47), with a = 2.954 Å, b = 4.247 Å, c = 5.618 Å, α = 90.00°, β = 90.00° and γ = 90.00°. Symmetry generates all atoms from Mo at (0.000, 0.000, 0.211), Rh at (0.500, 0.500, 0.000) and Pb at (0.500, 0.500, 0.500).

Number 1: D(E_F) 1.06 states/eV/atom. Number 2: D(E_F) 0.97 states/eV/atom. Number 3: D(E_F) 1.05 states/eV/atom. Number 4: D(E_F) 0.73 states/eV/atom. Number 5: D(E_F) 1.25 states/eV/atom. Number 6: D(E_F) 1.27 states/eV/atom. Number 7: D(E_F) 0.89 states/eV/atom. Number 8: D(E_F) 1.13 states/eV/atom.